# 1
Below is a crystal of Rb2AgHg2 relaxed with PBEsol, with properties calculated at the SCAN level.

Unit cell a=7.677 b=7.677 c=5.518 alpha=90.00 beta=90.00 gamma=90.00
Sites, in units of the cell vectors:
Rb1 0.177 0.323 0.000
Rb2 0.323 0.823 0.000
Rb3 0.677 0.177 0.000
Rb4 0.823 0.677 0.000
Ag1 0.000 0.000 0.500
Ag2 0.500 0.500 0.500
Hg1 0.138 0.638 0.500
Hg2 0.362 0.138 0.500
Hg3 0.638 0.862 0.500
Hg4 0.862 0.362 0.500

Summary:
Space group ... P4/mbm (127)
ΔE_f ... -148 meV per atom

# 2
Below is a crystal of Na3YB2O6 relaxed with PBEsol, with properties calculated at the SCAN level.

Unit cell a=6.506 b=8.474 c=12.025 alpha=90.00 beta=118.66 gamma=90.00
Sites, in units of the cell vectors:
Na1 0.063 0.202 0.072
Na2 0.063 0.298 0.572
Na3 0.325 0.555 0.115
Na4 0.325 0.945 0.615
Na5 0.397 0.699 0.385
Na6 0.397 0.801 0.885
Na7 0.603 0.199 0.115
Na8 0.603 0.301 0.615
Na9 0.675 0.055 0.385
Na10 0.675 0.445 0.885
Na11 0.937 0.702 0.428
Na12 0.937 0.798 0.928
Y1 0.094 0.128 0.828
Y2 0.094 0.372 0.328
Y3 0.906 0.628 0.672
Y4 0.906 0.872 0.172
B1 0.168 0.058 0.380
B2 0.168 0.442 0.880
B3 0.363 0.589 0.623
B4 0.363 0.911 0.123
B5 0.637 0.089 0.877
B6 0.637 0.411 0.377
B7 0.832 0.558 0.120
B8 0.832 0.942 0.620
O1 0.074 0.117 0.256
O2 0.074 0.383 0.756
O3 0.142 0.601 0.894
O4 0.142 0.899 0.394
O5 0.236 0.689 0.659
O6 0.236 0.811 0.159
O7 0.252 0.508 0.509
O8 0.252 0.992 0.009
O9 0.266 0.165 0.478
O10 0.266 0.335 0.978
O11 0.398 0.067 0.799
O12 0.398 0.433 0.299
O13 0.602 0.567 0.701
O14 0.602 0.933 0.201
O15 0.734 0.665 0.022
O16 0.734 0.835 0.522
O17 0.748 0.008 0.991
O18 0.748 0.492 0.491
O19 0.764 0.189 0.841
O20 0.764 0.311 0.341
O21 0.858 0.101 0.606
O22 0.858 0.399 0.106
O23 0.926 0.617 0.244
O24 0.926 0.883 0.744

Summary:
Space group ... P2_1/c (14)
Energy relative to the elements, uncorrected ... -63.0 kcal/mol of atoms

# 3
Below is a crystal of NaNb3As relaxed with PBEsol, with properties calculated at the SCAN level.

Unit cell a=4.608 b=4.608 c=4.608 alpha=90.00 beta=90.00 gamma=90.00
Sites, in units of the cell vectors:
Na1 0.000 0.000 0.000
Nb1 0.000 0.000 0.500
Nb2 0.000 0.500 0.000
Nb3 0.500 0.000 0.000
As1 0.500 0.500 0.500

Summary:
Space group ... Pm-3m (221)
ΔE_f ... 1968 meV per atom

# 4
Below is a crystal of BeHg2IrPt relaxed with PBEsol, with properties calculated at the SCAN level.

Unit cell a=5.064 b=5.064 c=4.014 alpha=90.00 beta=90.00 gamma=90.00
Sites, in units of the cell vectors:
Be1 0.000 0.000 0.000
Hg1 0.000 0.500 0.500
Hg2 0.500 0.000 0.500
Ir1 0.000 0.000 0.500
Pt1 0.500 0.500 0.000

Summary:
Space group ... P4/mmm (123)
ΔE_f ... 916 meV per atom

# 5
Below is a crystal of CaHg3 relaxed with PBEsol, with properties calculated at the SCAN level.

Unit cell a=4.563 b=4.563 c=4.563 alpha=90.00 beta=90.00 gamma=90.00
Sites, in units of the cell vectors:
Ca1 0.000 0.000 0.000
Hg1 0.000 0.500 0.500
Hg2 0.500 0.000 0.500
Hg3 0.500 0.500 0.000

Summary:
Space group ... Pm-3m (221)
ΔE_f ... -466 meV per atom

# 6
Below is a crystal of ZnP3F relaxed with PBEsol, with properties calculated at the SCAN level.

Unit cell a=4.516 b=4.516 c=4.516 alpha=90.00 beta=90.00 gamma=90.00
Sites, in units of the cell vectors:
Zn1 0.000 0.000 0.000
P1 0.000 0.000 0.500
P2 0.000 0.500 0.000
P3 0.500 0.000 0.000
F1 0.500 0.500 0.500

Summary:
Space group ... Pm-3m (221)
Energy relative to the elements, uncorrected ... 21.8 kcal/mol of atoms

# 7
Below is a crystal of CrTc2Pt relaxed with PBEsol, with properties calculated at the SCAN level.

Unit cell a=4.127 b=5.124 c=5.124 alpha=30.13 beta=90.00 gamma=90.00
Sites, in units of the cell vectors:
Cr1 0.000 0.000 0.000
Tc1 0.000 0.737 0.737
Tc2 0.500 0.123 0.123
Pt1 0.500 0.388 0.388

Summary:
Space group ... Amm2 (38)
ΔE_f ... -53 meV per atom

# 8
Below is a crystal of Ag2TeAu relaxed with PBEsol, with properties calculated at the SCAN level.

Unit cell a=4.280 b=4.280 c=4.150 alpha=90.00 beta=90.00 gamma=90.00
Sites, in units of the cell vectors:
Ag1 0.000 0.500 0.000
Ag2 0.500 0.000 0.000
Te1 0.000 0.000 0.500
Au1 0.500 0.500 0.500

Summary:
Space group ... P4/mmm (123)
Energy relative to the elements, uncorrected ... 0.6 kcal/mol of atoms

# 9
Below is a crystal of LuAg4 relaxed with PBEsol, with properties calculated at the SCAN level.

Unit cell a=5.094 b=5.094 c=5.094 alpha=99.39 beta=99.39 gamma=132.36
Sites, in units of the cell vectors:
Lu1 0.000 0.000 0.000
Ag1 0.197 0.403 0.599
Ag2 0.403 0.803 0.206
Ag3 0.597 0.197 0.794
Ag4 0.803 0.597 0.401

Summary:
Space group ... I4/m (87)
ΔE_f ... -251 meV per atom

# 10
Below is a crystal of ZnNiIr relaxed with PBEsol, with properties calculated at the SCAN level.

Unit cell a=4.113 b=4.113 c=2.581 alpha=90.00 beta=90.00 gamma=120.00
Sites, in units of the cell vectors:
Zn1 0.000 0.000 0.000
Ni1 0.667 0.333 0.000
Ir1 0.333 0.667 0.500

Summary:
Space group ... P-6m2 (187)
ΔE_f ... 30 meV per atom

# 11
Below is a crystal of CrP2W relaxed with PBEsol, with properties calculated at the SCAN level.

Unit cell a=3.122 b=6.090 c=5.469 alpha=90.00 beta=90.00 gamma=90.00
Sites, in units of the cell vectors:
Cr1 0.000 0.065 0.000
Cr2 0.000 0.935 0.500
P1 0.000 0.294 0.666
P2 0.000 0.706 0.166
P3 0.500 0.167 0.305
P4 0.500 0.833 0.805
W1 0.500 0.443 0.982
W2 0.500 0.557 0.482

Summary:
Space group ... Pmc2_1 (26)
ΔE_f ... -416 meV per atom

# 12
Below is a crystal of MgZr2Zn relaxed with PBEsol, with properties calculated at the SCAN level.

Unit cell a=3.222 b=4.062 c=5.933 alpha=90.00 beta=90.00 gamma=90.00
Sites, in units of the cell vectors:
Mg1 0.000 0.000 0.000
Zr1 0.500 0.500 0.261
Zr2 0.500 0.500 0.739
Zn1 0.000 0.000 0.500

Summary:
Space group ... Pmmm (47)
ΔE_f ... -111 meV per atom

| no. | DFT total energy (eV per atom) |
| --- | --- |
| 1 | -41.984 |
| 2 | -10.459 |
| 3 | -22.790 |
| 4 | -55.479 |
| 5 | -54.006 |
| 6 | -8.707 |
| 7 | -39.728 |
| 8 | -42.260 |
| 9 | -36.414 |
| 10 | -33.566 |
| 11 | -27.633 |
| 12 | -20.083 |